Record 1
ZrAgW2: relaxed, PBE-GGA.

Values from the calculation:
Density (g/cm³): 13.3
Magnetization (μB/f.u.): 0.0
Energy relative to the lowest polymorph listed for this composition (kJ per mole of atoms): 20.44
V (Å³ per cell): 141.6
Calculated formation energy (eV per atom): 0.429

```
ZrAgW2
1.0
3.3920 0.0000 0.0000
0.0000 4.4017 0.0000
0.0000 0.0000 9.4831
Zr Ag W
2 2 4
direct
0.0000 0.0000 0.0000
0.5000 0.5000 0.0000
0.0000 0.0000 0.5000
0.5000 0.5000 0.5000
0.0000 0.5000 0.2556
0.0000 0.5000 0.7444
0.5000 0.0000 0.2556
0.5000 0.0000 0.7444
```



Record 2
ZrAgW2: relaxed, PBE-GGA.

Values from the calculation:
Density (g/cm³): 12.1
Magnetization (μB/f.u.): 0.0
Energy relative to the lowest polymorph listed for this composition (kJ per mole of atoms): 87.42
V (Å³ per cell): 311.3
Calculated formation energy (eV per atom): 1.123

```
ZrAgW2
1.0
7.5974 0.0000 0.0000
0.0000 7.5974 0.0000
0.0000 0.0000 5.3927
Zr Ag W
4 4 8
direct
0.0000 0.0000 0.0000
0.0000 0.5000 0.2500
0.5000 0.0000 0.7500
0.5000 0.5000 0.5000
0.0000 0.0000 0.5000
0.0000 0.5000 0.7500
0.5000 0.0000 0.2500
0.5000 0.5000 0.0000
0.2338 0.2500 0.6250
0.2500 0.7338 0.8750
0.2500 0.7662 0.3750
0.2662 0.2500 0.1250
0.7338 0.7500 0.1250
0.7500 0.2338 0.3750
0.7500 0.2662 0.8750
0.7662 0.7500 0.6250
```



Record 3
ZrAgW: relaxed, PBE-GGA.

Values from the calculation:
Density (g/cm³): 11.5
Magnetization (μB/f.u.): 0.0
Energy relative to the lowest polymorph listed for this composition (kJ per mole of atoms): 0.00
V (Å³ per cell): 220.4
Calculated formation energy (eV per atom): 0.273

```
ZrAgW
1.0
3.4746 0.0000 0.0000
0.0000 4.4829 0.0000
0.0000 0.0000 14.1506
Zr Ag W
4 4 4
direct
0.0000 0.0000 0.0000
0.0000 0.5000 0.5000
0.5000 0.0000 0.5000
0.5000 0.5000 0.0000
0.0000 0.0000 0.6764
0.0000 0.5000 0.1764
0.5000 0.0000 0.1764
0.5000 0.5000 0.6764
0.0000 0.0000 0.3388
0.0000 0.5000 0.8388
0.5000 0.0000 0.8388
0.5000 0.5000 0.3388
```



Record 4
ZrAgW2: relaxed, PBE-GGA.

Values from the calculation:
Density (g/cm³): 13.3
Magnetization (μB/f.u.): 0.0
Energy relative to the lowest polymorph listed for this composition (kJ per mole of atoms): 12.40
V (Å³ per cell): 71.0
Calculated formation energy (eV per atom): 0.346

```
ZrAgW2
1.0
3.3680 0.0000 0.0000
0.0000 4.4858 0.0000
0.0000 0.0000 4.7013
Zr Ag W
1 1 2
direct
0.0000 0.0000 0.0000
0.5000 0.5000 0.0000
0.0000 0.5000 0.5000
0.5000 0.0000 0.5000
```



Record 5
ZrAgW4: relaxed, PBE-GGA.

Values from the calculation:
Density (g/cm³): 14.2
Magnetization (μB/f.u.): 0.0
V (Å³ per cell): 109.3
Calculated formation energy (eV per atom): 0.374

```
ZrAgW4
1.0
0.0000 3.7951 3.7951
3.7951 0.0000 3.7951
3.7951 3.7951 0.0000
Zr Ag W
1 1 4
direct
0.0000 0.0000 0.0000
0.2500 0.2500 0.2500
0.1253 0.6249 0.6249
0.6249 0.1253 0.6249
0.6249 0.6249 0.1253
0.6249 0.6249 0.6249
```



Record 6
ZrAgW2: relaxed, PBE-GGA.

Values from the calculation:
Density (g/cm³): 13.2
Magnetization (μB/f.u.): 0.0
Energy relative to the lowest polymorph listed for this composition (kJ per mole of atoms): 24.00
V (Å³ per cell): 71.1
Calculated formation energy (eV per atom): 0.466

```
ZrAgW2
1.0
2.7660 0.0000 0.0000
0.0000 2.7660 0.0000
0.0000 0.0000 9.2950
Zr Ag W
1 1 2
direct
0.0000 0.0000 0.0000
0.0000 0.0000 0.5000
0.5000 0.5000 0.2596
0.5000 0.5000 0.7404
```



Number 1 is which compound? ZrAgW2



calculated formation energy of number 4 (ZrAgW2)? 0.346 eV per atom